Entry 1:
CsSnSe2 | PBE | optimized geometry

The structure in POSCAR format:
```
CsSnSe2
1.0
-4.2970 0.0052 2.1108
-1.7468 -1.5114 -3.5539
-0.1219 -6.1087 5.1844
Se Sn Cs
2 1 1
direct
0.6678 0.5802 0.6696 Se
0.3656 0.8819 0.2730 Se
0.2510 0.4967 0.5029 Sn
0.0047 0.2426 0.9940 Cs
```

Values from the calculation:
The space group is Imm2. The calculation puts the total magnetization at 0.0 μB per cell. The uncorrected formation energy is -717 meV/atom.

---

Entry 2:
Hg2P2C | PBE | optimized geometry

The structure in POSCAR format:
```
Hg2P2C
1.0
5.8002 0.0000 0.0000
0.0000 5.8002 0.0000
2.9001 2.9001 3.7684
C Hg P
1 2 2
direct
0.0000 0.0000 0.0000 C
0.7500 0.2500 0.5000 Hg
0.2500 0.7500 0.5000 Hg
0.2179 0.2179 0.5643 P
0.7821 0.7821 0.4357 P
```

Values from the calculation:
Its formation energy is 0.50 eV per atom. The space group is I4/mmm. The calculation puts the total magnetization at 0.0 μB per cell.

---

Entry 3:
SrMg2Si | PBE | optimized geometry

The structure in POSCAR format:
```
SrMg2Si
1.0
6.8597 -0.0807 -0.0501
5.4202 4.2052 -0.0501
5.4202 1.8205 3.7910
Mg Sr Si
2 1 1
direct
0.5409 0.5409 0.5409 Mg
0.9591 0.9591 0.9591 Mg
0.7500 0.7500 0.7500 Sr
0.2500 0.2500 0.2500 Si
```

Values from the calculation:
The space group is R-3m. The calculation puts the total magnetization at 0.0 μB per cell. The uncorrected formation energy is -38 meV/atom.

---

Entry 4:
NdTm2Au3 | PBE | optimized geometry

The structure in POSCAR format:
```
NdTm2Au3
1.0
3.5725 0.0000 0.0000
0.0000 3.5725 0.0000
0.0000 0.0000 10.9979
Nd Au Tm
1 3 2
direct
0.5000 0.5000 0.5000 Nd
0.0000 0.0000 0.3133 Au
0.0000 0.0000 0.6867 Au
0.0000 0.0000 0.0000 Au
0.5000 0.5000 0.8384 Tm
0.5000 0.5000 0.1616 Tm
```

Values from the calculation:
Its formation energy is -0.85 eV per atom. The space group is P4/mmm. The calculation puts the total magnetization at 0.0 μB per cell.

---

Entry 5:
HfTaCrNi | PBE | optimized geometry

The structure in POSCAR format:
```
HfTaCrNi
1.0
-3.2718 -1.6719 -2.4762
-2.6796 -3.1064 1.6739
-4.2161 0.9845 0.9420
Cr Ta Hf Ni
1 1 1 1
direct
0.0000 0.0000 0.0000 Cr
0.2500 0.2500 0.2500 Ta
0.7500 0.7500 0.7500 Hf
0.5000 0.5000 0.5000 Ni
```

Values from the calculation:
Its formation energy is -0.10 eV per atom. The space group is F-43m. The calculation puts the total magnetization at 0.0 μB per cell.

---

Entry 6:
CaPHO2 | PBE | optimized geometry

The structure in POSCAR format:
```
CaPHO2
1.0
-2.7636 3.3728 -0.6201
-2.7917 -2.6752 -2.1089
-3.0996 -1.4477 5.9394
H O P Ca
1 2 1 1
direct
0.5000 0.5000 0.5000 H
0.0000 0.5000 0.0000 O
0.5000 0.0000 0.0000 O
0.0000 0.0000 0.5000 P
0.0000 0.0000 0.0000 Ca
```

Values from the calculation:
The space group is P4/mmm. The calculation puts the total magnetization at 4.0 μB per cell.

---

Entry 7:
Ni3POs | PBE | optimized geometry

The structure in POSCAR format:
```
Ni3POs
1.0
4.4824 0.0000 0.0000
0.0000 4.4824 0.0000
0.0000 0.0000 4.4824
Ni P Os
3 1 1
direct
0.0000 0.0000 0.5000 Ni
0.5000 0.0000 0.0000 Ni
0.0000 0.5000 0.0000 Ni
0.5000 0.5000 0.5000 P
0.0000 0.0000 0.0000 Os
```

Values from the calculation:
Its formation energy is 1.58 eV per atom. The space group is Pm-3m. The calculation puts the total magnetization at 0.0 μB per cell.

---

Entry 8:
AgRu3Pb | PBE | optimized geometry

The structure in POSCAR format:
```
AgRu3Pb
1.0
-2.2629 3.0107 3.0536
-2.2062 -3.7781 2.0900
3.6772 -0.4140 3.1332
Ru Pb Ag
3 1 1
direct
0.5000 0.0000 0.0000 Ru
0.0000 0.5000 0.0000 Ru
0.0000 0.0000 0.5000 Ru
0.5000 0.5000 0.5000 Pb
0.0000 0.0000 0.0000 Ag
```

Values from the calculation:
Its formation energy is 2.03 eV per atom. The space group is Pm-3m. The calculation puts the total magnetization at 4.6 μB per cell.

---

Q: Which raw total energy values were calculated for the entries above? A: -3.67 -3.63 -2.61 -4.78 -9.40 -3.59 -5.22 -4.85, in eV/atom.